No. 1
# TaTcPO | the Open Quantum Materials Database | GGA-PBE | relaxed
# size of the total moment: 1.059 μB per formula unit
# relative energy among the computed polymorphs: 594.7 meV/atom
data_TaTcPO
_chemical_formula_sum 'Ta2 Tc2 P2 O2'
_cell_length_a 4.2467
_cell_length_b 4.2467
_cell_length_c 5.9636
_cell_angle_alpha 90.00
_cell_angle_beta 90.00
_cell_angle_gamma 90.00
_space_group_name_H-M_alt 'P 4/n m m'
_space_group_IT_number 129
loop_
_space_group_symop_operation_xyz
'x,y,z'
'-x,-y,-z'
'-y+1/2,x,z'
'y+1/2,-x,-z'
'-x+1/2,-y+1/2,z'
'x+1/2,y+1/2,-z'
'y,-x+1/2,z'
'-y,x+1/2,-z'
'x+1/2,-y,-z'
'-x+1/2,y,z'
'-y,-x,-z'
'y,x,z'
'-x,y+1/2,-z'
'x,-y+1/2,z'
'y+1/2,x+1/2,-z'
'-y+1/2,-x+1/2,z'
loop_
_atom_site_label
_atom_site_fract_x
_atom_site_fract_y
_atom_site_fract_z
Ta1 0.2500 0.7500 0.0000
Tc1 0.2500 0.2500 0.3830
P1 0.2500 0.2500 0.7851
O1 0.2500 0.7500 0.5000

***

No. 2
# Ho2Sc2BBr2Cl3 | the Open Quantum Materials Database | GGA-PBE | relaxed
# size of the total moment: 0.013 μB per formula unit
# DFT total energy: -5.274 eV/atom
data_Ho2Sc2BBr2Cl3
_chemical_formula_sum 'Ho4 Sc4 B2 Br4 Cl6'
_cell_length_a 16.8048
_cell_length_b 3.7319
_cell_length_c 7.8822
_cell_angle_alpha 90.00
_cell_angle_beta 102.38
_cell_angle_gamma 90.00
_space_group_name_H-M_alt 'C 1 2/m 1'
_space_group_IT_number 12
loop_
_space_group_symop_operation_xyz
'x,y,z'
'-x,-y,-z'
'-x,y,-z'
'x,-y,z'
'x+1/2,y+1/2,z'
'-x+1/2,-y+1/2,-z'
'-x+1/2,y+1/2,-z'
'x+1/2,-y+1/2,z'
loop_
_atom_site_label
_atom_site_fract_x
_atom_site_fract_y
_atom_site_fract_z
Ho1 0.0026 0.0000 0.2852
Sc1 0.1415 0.5000 0.5718
B1 0.0000 0.5000 0.5000
Br1 0.1714 0.0000 0.8314
Cl1 0.0000 0.5000 0.0000
Cl2 0.1731 0.0000 0.3575

***

No. 3
# Ta2Tl2P7HO24 | the Open Quantum Materials Database | GGA-PBE | relaxed
# size of the total moment: 0.006 μB per formula unit
# DFT total energy: -7.395 eV/atom
data_Ta2Tl2P7HO24
_chemical_formula_sum 'Ta4 Tl4 P14 H2 O48'
_cell_length_a 5.0845
_cell_length_b 17.9816
_cell_length_c 10.7171
_cell_angle_alpha 90.00
_cell_angle_beta 95.75
_cell_angle_gamma 90.00
_space_group_name_H-M_alt 'P 1 21/m 1'
_space_group_IT_number 11
loop_
_space_group_symop_operation_xyz
'x,y,z'
'-x,-y,-z'
'-x,y+1/2,-z'
'x,-y+1/2,z'
loop_
_atom_site_label
_atom_site_fract_x
_atom_site_fract_y
_atom_site_fract_z
Ta1 0.1849 0.0247 0.3064
Tl1 0.1941 0.7500 0.2296
Tl2 0.2268 0.2500 0.5227
P1 0.1608 0.1251 0.0308
P2 0.2754 0.6009 0.5448
P3 0.3466 0.0872 0.7954
P4 0.3922 0.2500 0.1708
H1 0.1566 0.7500 0.7704
O1 0.0152 0.6022 0.6109
O2 0.0781 0.6624 0.0267
O3 0.1204 0.0747 0.1428
O4 0.1374 0.0344 0.7279
O5 0.1566 0.2500 0.2422
O6 0.2577 0.5281 0.4638
O7 0.3132 0.1666 0.7613
O8 0.3138 0.0723 0.9427
O9 0.3180 0.6686 0.4708
O10 0.3452 0.7500 0.7453
O11 0.3820 0.5523 0.2198
O12 0.4008 0.1804 0.0789
O13 0.4994 0.5853 0.6533